# 1
Cs2AgCl2F4, relaxed, DFT PBE-GGA; total DFT energy (no corrections) = -30.0 eV for the cell shown; theoretical density = 4.1 Mg/m³; symmetry = I4/mmm; spin magnetization = 1.00 Bohr magnetons per cell
1.0
-3.6578 3.6578 3.9451
3.6578 -3.6578 3.9451
3.6578 3.6578 -3.9451
Cs Ag Cl F
2 1 2 4
Direct
0.2500 0.7500 0.5000 Cs
0.7500 0.2500 0.5000 Cs
0.0000 0.0000 0.0000 Ag
0.3702 0.3702 0.0000 Cl
0.6298 0.6298 0.0000 Cl
0.2025 0.2025 0.4049 F
0.2025 0.7975 0.0000 F
0.7975 0.2025 0.0000 F
0.7975 0.7975 0.5951 F

# 2
LaDySnHg, relaxed, DFT PBE-GGA; ΔH_f (0 K) = -231 kJ/mol of formula units; total DFT energy (no corrections) = -64.9 eV for the cell shown; theoretical density = 9.1 Mg/m³; symmetry = F-43m; spin magnetization = 0.00 Bohr magnetons per cell
1.0
7.6696 0.0000 0.0000
0.0000 7.6696 0.0000
0.0000 0.0000 7.6696
La Dy Sn Hg
4 4 4 4
Direct
0.0000 0.0000 0.0000 La
0.0000 0.5000 0.5000 La
0.5000 0.0000 0.5000 La
0.5000 0.5000 0.0000 La
0.0000 0.0000 0.5000 Dy
0.0000 0.5000 0.0000 Dy
0.5000 0.0000 0.0000 Dy
0.5000 0.5000 0.5000 Dy
0.2500 0.2500 0.7500 Sn
0.2500 0.7500 0.2500 Sn
0.7500 0.2500 0.2500 Sn
0.7500 0.7500 0.7500 Sn
0.2500 0.2500 0.2500 Hg
0.2500 0.7500 0.7500 Hg
0.7500 0.2500 0.7500 Hg
0.7500 0.7500 0.2500 Hg

# 3
NpIrRh4, relaxed, DFT PBE-GGA; ΔH_f (0 K) = 252 kJ/mol of formula units; total DFT energy (no corrections) = -97.2 eV for the cell shown; theoretical density = 12.1 Mg/m³; symmetry = P4_2/nmc; spin magnetization = 1.29 Bohr magnetons per cell
1.0
5.3901 0.0000 0.0000
0.0000 5.3901 0.0000
0.0000 0.0000 7.9222
Np Ir Rh
2 2 8
Direct
0.2500 0.7500 0.2500 Np
0.7500 0.2500 0.7500 Np
0.2500 0.7500 0.7500 Ir
0.7500 0.2500 0.2500 Ir
0.0209 0.2500 0.5110 Rh
0.2500 0.0209 0.0110 Rh
0.2500 0.4791 0.0110 Rh
0.4791 0.2500 0.5110 Rh
0.5209 0.7500 0.4890 Rh
0.7500 0.5209 0.9890 Rh
0.7500 0.9791 0.9890 Rh
0.9791 0.7500 0.4890 Rh

# 4
YTaC2, relaxed, DFT PBE-GGA; ΔH_f (0 K) = -187 kJ/mol of formula units; total DFT energy (no corrections) = -116.1 eV for the cell shown; ΔE to the lowest computed polymorph = 0.0000 eV/atom; theoretical density = 9.2 Mg/m³; symmetry = R-3m; spin magnetization = 0.00 Bohr magnetons per cell
1.0
3.3089 0.0000 0.0000
-1.6544 2.8656 0.0000
0.0000 0.0000 16.7866
Y Ta C
3 3 6
Direct
0.0000 0.0000 0.0000 Y
0.3333 0.6667 0.6667 Y
0.6667 0.3333 0.3333 Y
0.0000 0.0000 0.5000 Ta
0.3333 0.6667 0.1667 Ta
0.6667 0.3333 0.8333 Ta
0.0000 0.0000 0.2388 C
0.0000 0.0000 0.7612 C
0.3333 0.6667 0.4278 C
0.3333 0.6667 0.9055 C
0.6667 0.3333 0.0945 C
0.6667 0.3333 0.5722 C

# 5
BaSiAs, relaxed, DFT PBE-GGA; total DFT energy (no corrections) = -51.7 eV for the cell shown; ΔE to the lowest computed polymorph = 0.2837 eV/atom; theoretical density = 5.2 Mg/m³; symmetry = Fmm2; spin magnetization = 0.00 Bohr magnetons per cell
1.0
5.0332 0.0000 0.0000
0.0000 5.3526 0.0000
0.0000 0.0000 11.4543
Ba Si As
4 4 4
Direct
0.0000 0.0000 0.0000 Ba
0.0000 0.5000 0.5000 Ba
0.5000 0.0000 0.5000 Ba
0.5000 0.5000 0.0000 Ba
0.0000 0.0000 0.2859 Si
0.0000 0.5000 0.7859 Si
0.5000 0.0000 0.7859 Si
0.5000 0.5000 0.2859 Si
0.0000 0.0000 0.7134 As
0.0000 0.5000 0.2134 As
0.5000 0.0000 0.2134 As
0.5000 0.5000 0.7134 As

# 6
Rb2VSi, relaxed, DFT PBE-GGA; total DFT energy (no corrections) = -54.5 eV for the cell shown; ΔE to the lowest computed polymorph = 0.0000 eV/atom; theoretical density = 1.9 Mg/m³; symmetry = I-42d; spin magnetization = 13.93 Bohr magnetons per cell
1.0
13.5203 0.0000 0.0000
0.0000 13.5203 0.0000
0.0000 0.0000 4.8106
Rb V Si
8 4 4
Direct
0.0180 0.2500 0.1250 Rb
0.2500 0.5180 0.3750 Rb
0.2500 0.9820 0.8750 Rb
0.4820 0.2500 0.6250 Rb
0.5180 0.7500 0.6250 Rb
0.7500 0.0180 0.8750 Rb
0.7500 0.4820 0.3750 Rb
0.9820 0.7500 0.1250 Rb
0.0000 0.0000 0.0000 V
0.0000 0.5000 0.2500 V
0.5000 0.0000 0.7500 V
0.5000 0.5000 0.5000 V
0.0000 0.0000 0.5000 Si
0.0000 0.5000 0.7500 Si
0.5000 0.0000 0.2500 Si
0.5000 0.5000 0.0000 Si

The lowest total DFT energy (no corrections) belongs to which entry?
YTaC2